a) Crystalline RbLuNb at its relaxed geometry. Source: OQMD, functional PBE-GGA.

The space group is F-43m (No. 216) and the conventional cell measures 7.5986, 7.5986 and 7.5986 Å, with angles of 90.00, 90.00 and 90.00 degrees. The inequivalent atoms are Rb at (0.0000, 0.0000, 0.0000), Lu at (0.2500, 0.2500, 0.7500) and Nb at (0.2500, 0.2500, 0.2500).

Its volume is 439 Å³ per cell.

***

b) Crystalline RbLuNb at its relaxed geometry. Source: OQMD, functional PBE-GGA.

The space group is F-43m (No. 216) and the conventional cell measures 7.8074, 7.8074 and 7.8074 Å, with angles of 90.00, 90.00 and 90.00 degrees. The inequivalent atoms are Rb at (0.0000, 0.0000, 0.0000), Lu at (0.0000, 0.0000, 0.5000) and Nb at (0.2500, 0.2500, 0.7500).

Its volume is 476 Å³ per cell.

***

Short version: b), a), most stable first.